# 1
CuReTc2 PBE optimized geometry; energy relative to the lowest polymorph listed for this composition = 69 meV/atom; energy of formation = 0.213 eV/atom; calculated volume = 56.9 Å³/f.u.; space-group type = Cm; crystal system = monoclinic
1.0
4.554 -1.369 0.000
4.554 1.369 0.000
-0.859 0.000 4.566
Cu Re Tc
1 1 2
Direct
0.000 0.000 0.000 Cu
0.248 0.248 0.745 Re
0.500 0.500 0.499 Tc
0.754 0.754 0.258 Tc

=====

# 2
La2YSiTc PBE optimized geometry; calculated volume = 167.7 Å³/f.u.; ΔE_f (raw) = 1.391 eV/atom; space-group type = P4/mmm; crystal system = tetragonal
1.0
5.708 0.000 0.000
0.000 5.708 0.000
0.000 0.000 5.146
La Y Si Tc
2 1 1 1
Direct
0.000 0.500 0.000 La
0.500 0.000 0.000 La
0.000 0.000 0.000 Y
0.000 0.000 0.500 Si
0.500 0.500 0.500 Tc

=====

# 3
Pm3Ga3Cu8 PBE optimized geometry; energy of formation = -0.277 eV/atom; calculated volume = 241.9 Å³/f.u.; space-group type = Immm; crystal system = orthorhombic
1.0
-2.131 4.467 6.351
2.131 -4.467 6.351
2.131 4.467 -6.351
Pm Ga Cu
3 3 8
Direct
0.000 0.000 0.000 Pm
0.299 0.299 0.000 Pm
0.701 0.701 0.000 Pm
0.285 0.500 0.785 Ga
0.500 0.000 0.500 Ga
0.715 0.500 0.215 Ga
0.025 0.669 0.356 Cu
0.152 0.869 0.283 Cu
0.313 0.669 0.644 Cu
0.414 0.131 0.283 Cu
0.586 0.869 0.717 Cu
0.687 0.331 0.356 Cu
0.848 0.131 0.717 Cu
0.975 0.331 0.644 Cu

=====

# 4
IrF PBE optimized geometry; energy relative to the lowest polymorph listed for this composition = 2014 meV/atom; calculated volume = 45.2 Å³/f.u.; ΔE_f (raw) = 1.432 eV/atom; space-group type = Pm-3n; crystal system = cubic
1.0
6.472 0.000 0.000
0.000 6.472 0.000
0.000 0.000 6.472
Ir F
6 6
Direct
0.000 0.250 0.500 Ir
0.000 0.750 0.500 Ir
0.250 0.500 0.000 Ir
0.500 0.000 0.250 Ir
0.500 0.000 0.750 Ir
0.750 0.500 0.000 Ir
0.000 0.500 0.250 F
0.000 0.500 0.750 F
0.250 0.000 0.500 F
0.500 0.250 0.000 F
0.500 0.750 0.000 F
0.750 0.000 0.500 F

=====

# 5
Tb3YHg6 PBE optimized geometry; energy of formation = -0.437 eV/atom; calculated volume = 253.5 Å³/f.u.; space-group type = P2_1/m; crystal system = monoclinic
1.0
9.204 0.000 0.000
0.000 5.161 0.000
-3.155 0.000 10.674
Tb Y Hg
6 2 12
Direct
0.014 0.250 0.387 Tb
0.147 0.750 0.203 Tb
0.271 0.250 0.992 Tb
0.729 0.750 0.008 Tb
0.853 0.250 0.797 Tb
0.986 0.750 0.613 Tb
0.438 0.250 0.610 Y
0.562 0.750 0.390 Y
0.036 0.750 0.910 Hg
0.152 0.250 0.702 Hg
0.257 0.750 0.490 Hg
0.338 0.250 0.312 Hg
0.360 0.750 0.802 Hg
0.437 0.750 0.103 Hg
0.563 0.250 0.897 Hg
0.640 0.250 0.198 Hg
0.662 0.750 0.688 Hg
0.743 0.250 0.510 Hg
0.848 0.750 0.298 Hg
0.964 0.250 0.090 Hg

=====

# 6
YCuAu2 PBE optimized geometry; energy relative to the lowest polymorph listed for this composition = 84 meV/atom; energy of formation = -0.512 eV/atom; calculated volume = 78.3 Å³/f.u.; space-group type = Fm-3m; crystal system = cubic
1.0
0.000 3.396 3.396
3.396 0.000 3.396
3.396 3.396 0.000
Y Cu Au
1 1 2
Direct
0.000 0.000 0.000 Y
0.500 0.500 0.500 Cu
0.250 0.250 0.250 Au
0.750 0.750 0.750 Au

=====

Q: What is the calculated volume in the first record?
A: 56.9 Å³/f.u.